No. 1
The following is a PBE calculation of KUSn2Te4 after structural relaxation, from Alexandria.

Computed properties:
DOS at the Fermi energy: 5.75 states/eV/f.u.

a = 6.498 Å, b = 6.498 Å, c = 13.064 Å
α = 90.00°, β = 90.00°, γ = 90.00°
Space group I-4m2 (No. 119)
Asymmetric unit:
K1 0.000 0.000 0.000 x2
U1 0.000 0.500 0.750 x2
Sn1 0.000 0.000 0.500 x2
Sn2 0.000 0.500 0.250 x2
Te1 0.000 0.000 0.259 x4
Te2 0.000 0.500 0.510 x4

No. 2
The following is a PBE calculation of KUSnTe3 after structural relaxation, from Alexandria.

Computed properties:
DOS at the Fermi energy: 7.37 states/eV/f.u.

a = 9.735 Å, b = 4.320 Å, c = 10.181 Å
α = 90.00°, β = 113.15°, γ = 90.00°
Space group P2_1/m (No. 11)
Asymmetric unit:
K1 0.020 0.250 0.291 x2
U1 0.494 0.750 0.713 x2
Sn1 0.384 0.750 0.006 x2
Te1 0.185 0.250 0.023 x2
Te2 0.261 0.250 0.669 x2
Te3 0.332 0.750 0.376 x2

No. 3
The following is a PBE calculation of K3USn3Te8 after structural relaxation, from Alexandria.

Computed properties:
DOS at the Fermi energy: 12.78 states/eV/f.u.

a = 8.9827 Å, b = 8.9827 Å, c = 25.2626 Å
α = 90.00°, β = 90.00°, γ = 120.00°
Space group R-3m (No. 166, hexagonal axes)
Asymmetric unit:
K1 0.0000 0.5000 0.0000 x9
U1 0.0000 0.0000 0.5000 x3
Sn1 0.0000 0.5000 0.5000 x9
Te1 0.0000 0.0000 0.2371 x6
Te2 0.0158 0.5079 0.2325 x18

No. 4
The following is a PBE calculation of K2VSnTe after structural relaxation, from Alexandria.

Computed properties:
DOS at the Fermi energy: 6.40 states/eV/f.u.

a = 6.423 Å, b = 6.423 Å, c = 5.873 Å
α = 90.00°, β = 90.00°, γ = 90.00°
Space group P4/mmm (No. 123)
Asymmetric unit:
K1 0.000 0.500 0.000 x2
V1 0.000 0.000 0.500 x1
Sn1 0.500 0.500 0.500 x1
Te1 0.500 0.500 0.000 x1

No. 5
The following is a PBE calculation of KVSnTe3 after structural relaxation, from Alexandria.

a = 8.585 Å, b = 4.236 Å, c = 11.774 Å
α = 90.00°, β = 105.43°, γ = 90.00°
Space group P2_1/m (No. 11)
Asymmetric unit:
K1 0.062 0.250 0.191 x2
V1 0.462 0.750 0.876 x2
Sn1 0.387 0.250 0.553 x2
Te1 0.225 0.750 0.649 x2
Te2 0.281 0.250 0.934 x2
Te3 0.386 0.750 0.217 x2

No. 6
The following is a PBE calculation of K3Y2SnTe6 after structural relaxation, from Alexandria.

Computed properties:
DOS at the Fermi energy: 4.11 states/eV/f.u.

a = 7.817 Å, b = 13.543 Å, c = 8.638 Å
α = 90.00°, β = 107.55°, γ = 90.00°
Space group C2/m (No. 12)
Asymmetric unit:
K1 0.000 0.000 0.000 x2
K2 0.000 0.334 0.000 x4
Y1 0.000 0.167 0.500 x4
Sn1 0.000 0.500 0.500 x2
Te1 0.235 0.000 0.707 x4
Te2 0.236 0.333 0.707 x8

No. 7
The following is a PBE calculation of K4Y3SnTe8 after structural relaxation, from Alexandria.

Computed properties:
DOS at the Fermi energy: 2.15 states/eV/f.u.

a = 9.0232 Å, b = 9.0232 Å, c = 24.7005 Å
α = 90.00°, β = 90.00°, γ = 120.00°
Space group R-3m (No. 166, hexagonal axes)
Asymmetric unit:
K1 0.0000 0.0000 0.0000 x3
K2 0.0000 0.5000 0.0000 x9
Y1 0.0000 0.5000 0.5000 x9
Sn1 0.0000 0.0000 0.5000 x3
Te1 0.0000 0.0000 0.2365 x6
Te2 0.0000 0.5000 0.2353 x18

No. 8
The following is a PBE calculation of K3Y3SnTe8 after structural relaxation, from Alexandria.

Computed properties:
DOS at the Fermi energy: 3.36 states/eV/f.u.

a = 15.321 Å, b = 8.827 Å, c = 9.881 Å
α = 90.00°, β = 121.16°, γ = 90.00°
Space group C2/m (No. 12)
Asymmetric unit:
K1 0.000 0.000 0.000 x2
K2 0.250 0.250 0.000 x4
Y1 0.000 0.500 0.500 x2
Y2 0.250 0.250 0.500 x4
Sn1 0.000 0.000 0.500 x2
Te1 0.014 0.246 0.296 x8
Te2 0.232 0.000 0.704 x4
Te3 0.236 0.500 0.709 x4

No. 9
The following is a PBE calculation of K2YSnTe4 after structural relaxation, from Alexandria.

Computed properties:
DOS at the Fermi energy: 2.84 states/eV/f.u.

a = 7.887 Å, b = 4.454 Å, c = 8.652 Å
α = 90.00°, β = 107.02°, γ = 90.00°
Space group P2/m (No. 10)
Asymmetric unit:
K1 0.000 0.000 0.000 x1
K2 0.500 0.500 0.000 x1
Y1 0.000 0.500 0.500 x1
Sn1 0.500 0.000 0.500 x1
Te1 0.235 0.000 0.707 x2
Te2 0.263 0.500 0.295 x2

No. 10
The following is a PBE calculation of K2Zn2SnTe4 after structural relaxation, from Alexandria.

Computed properties:
DOS at the Fermi energy: 0.00 states/eV/f.u.

a = 16.871 Å, b = 4.485 Å, c = 8.541 Å
α = 90.00°, β = 110.04°, γ = 90.00°
Space group C2/m (No. 12)
Asymmetric unit:
K1 0.127 0.000 0.049 x4
Zn1 0.172 0.500 0.477 x4
Sn1 0.000 0.000 0.500 x2
Te1 0.021 0.500 0.249 x4
Te2 0.205 0.000 0.677 x4

No. 11
The following is a PBE calculation of K2ZnSnTe4 after structural relaxation, from Alexandria.

a = 6.913 Å, b = 15.276 Å, c = 24.068 Å
α = 90.00°, β = 90.00°, γ = 90.00°
Space group Fddd (No. 70, origin choice 2)
Asymmetric unit:
K1 0.125 0.125 0.312 x16
Zn1 0.125 0.125 0.625 x8
Sn1 0.125 0.125 0.125 x8
Te1 0.122 0.274 0.812 x32

No. 12
The following is a PBE calculation of K2ZrSnTe5 after structural relaxation, from Alexandria.

Computed properties:
DOS at the Fermi energy: 0.22 states/eV/f.u.

a = 4.335 Å, b = 20.931 Å, c = 15.221 Å
α = 90.00°, β = 90.00°, γ = 90.00°
Space group Cmc2_1 (No. 36)
Asymmetric unit:
K1 0.000 0.125 0.000 x4
K2 0.000 0.127 0.360 x4
Zr1 0.000 0.216 0.713 x4
Sn1 0.000 0.434 0.095 x4
Te1 0.000 0.060 0.718 x4
Te2 0.000 0.301 0.072 x4
Te3 0.000 0.301 0.337 x4
Te4 0.000 0.343 0.681 x4
Te5 0.000 0.498 0.941 x4

| no. | calculated density (g/cm3) | formation energy without anion corrections (eV/atom) |
| --- | --- | --- |
| 1 | 6.17 | -0.461 |
| 2 | 6.57 | -0.612 |
| 3 | 4.89 | -0.585 |
| 4 | 2.57 | 0.645 |
| 5 | 4.76 | -0.479 |
| 6 | 4.49 | -1.111 |
| 7 | 4.47 | -1.191 |
| 8 | 4.42 | -1.122 |
| 9 | 4.55 | -0.971 |
| 10 | 4.58 | -0.631 |
| 11 | 4.04 | -0.604 |
| 12 | 4.45 | -0.718 |